# Cr4ReBr, PBEsol geometry, DFT SCAN
data_Cr4ReBr
_chemical_formula_sum 'Cr16 Re4 Br4'
_symmetry_space_group_name_H-M 'F -4 3 m'
_symmetry_Int_Tables_number 216
_symmetry_space_group_name_Hall 'F -4 2 3'
_cell_length_a 6.776
_cell_length_b 6.776
_cell_length_c 6.776
_cell_angle_alpha 90.00
_cell_angle_beta 90.00
_cell_angle_gamma 90.00
loop_
_atom_site_label
_atom_site_type_symbol
_atom_site_fract_x
_atom_site_fract_y
_atom_site_fract_z
Cr1 Cr 0.125 0.125 0.125
Re1 Re 0.000 0.000 0.500
Br1 Br 0.250 0.250 0.750
# M_tot (μB/cell): 0.0
# D(E_F) (states/eV/cell): 26.0
# Crystal system: cubic
# Formation energy without anion corrections (meV per atom): 963
# Total DFT energy (no corrections) (eV/cell): -633.27